1.
Computed, not measured: a relaxed structure of UInPt2 at the PBE level of DFT.

Values from the calculation:
* VASP energy: -7.01 eV/atom

abc: 4.7564 4.7564 8.5797
angles: 90.00 90.00 120.00
Closest atoms and distances in Å follow each position.
Fractional coordinates of all 8 atoms:
Pt (0.6667, 0.3333, 0.0932)  1 Pt 2.69, 3 U 2.86, 1 In 2.94
Pt (0.3333, 0.6667, 0.5932)  1 Pt 2.69, 3 U 2.86, 1 In 2.94
Pt (0.6667, 0.3333, 0.4068)  1 Pt 2.69, 3 U 2.86, 1 In 2.94
Pt (0.3333, 0.6667, 0.9068)  1 Pt 2.69, 3 U 2.86, 1 In 2.94
U (0.0000, 0.0000, 0.5000)  6 Pt 2.86
U (0.0000, 0.0000, 0.0000)  6 Pt 2.86
In (0.3333, 0.6667, 0.2500)  8 Pt 2.94-3.06
In (0.6667, 0.3333, 0.7500)  8 Pt 2.94-3.06

2.
Computed, not measured: a relaxed structure of Na2ZnCl4 at the PBE level of DFT.

Values from the calculation:
* VASP energy: -3.16 eV/atom

abc: 13.6895 8.0088 6.4271
angles: 90.00 90.00 90.00
Closest atoms and distances in Å follow each position.
Fractional coordinates of all 28 atoms:
Na (0.0000, 0.5000, 0.0000)  6 Cl 2.77-2.83
Na (0.7306, 0.7500, 0.0053)  6 Cl 2.76-2.87
Na (0.2694, 0.2500, 0.9947)  6 Cl 2.76-2.87
Na (0.0000, 0.0000, 0.0000)  6 Cl 2.77-2.83
Na (0.2306, 0.7500, 0.4947)  6 Cl 2.76-2.87
Na (0.5000, 0.0000, 0.5000)  6 Cl 2.77-2.83
Na (0.7694, 0.2500, 0.5053)  6 Cl 2.76-2.87
Na (0.5000, 0.5000, 0.5000)  6 Cl 2.77-2.83
Zn (0.4084, 0.7500, 0.9133)  4 Cl 2.26-2.32
Zn (0.5916, 0.2500, 0.0867)  4 Cl 2.26-2.32
Zn (0.0916, 0.2500, 0.4133)  4 Cl 2.26-2.32
Zn (0.9084, 0.7500, 0.5867)  4 Cl 2.26-2.32
Cl (0.3344, 0.9761, 0.7607)  1 Zn 2.30
Cl (0.3344, 0.5239, 0.7607)  1 Zn 2.30
Cl (0.4370, 0.2500, 0.2337)  1 Zn 2.32
Cl (0.0630, 0.7500, 0.7337)  1 Zn 2.32
Cl (0.9370, 0.2500, 0.2663)  1 Zn 2.32
Cl (0.0919, 0.2500, 0.7648)  1 Zn 2.26
Cl (0.5919, 0.2500, 0.7352)  1 Zn 2.26
Cl (0.6656, 0.0239, 0.2393)  1 Zn 2.30
Cl (0.4081, 0.7500, 0.2648)  1 Zn 2.26
Cl (0.5630, 0.7500, 0.7663)  1 Zn 2.32
Cl (0.8344, 0.9761, 0.7393)  1 Zn 2.30
Cl (0.8344, 0.5239, 0.7393)  1 Zn 2.30
Cl (0.6656, 0.4761, 0.2393)  1 Zn 2.30
Cl (0.1656, 0.4761, 0.2607)  1 Zn 2.30
Cl (0.1656, 0.0239, 0.2607)  1 Zn 2.30
Cl (0.9081, 0.7500, 0.2352)  1 Zn 2.26

3.
Computed, not measured: a relaxed structure of Nd2TmAsO6 at the PBE level of DFT.

Values from the calculation:
* VASP energy: -7.62 eV/atom

abc: 4.0547 5.9806 6.5497
angles: 73.34 89.24 89.73
Closest atoms and distances in Å follow each position.
Fractional coordinates of all 10 atoms:
Tm (0.7608, 0.9832, 0.8119)  5 O 2.09-2.23
O (0.7809, 0.6074, 0.9244)  1 Tm 2.16, 1 Nd 2.34
O (0.7312, 0.9588, 0.1583)  1 As 1.76
O (0.2727, 0.7373, 0.4336)  1 As 1.84
O (0.2598, 0.0597, 0.8366)  2 Tm 2.09, 1 Nd 2.25
O (0.3012, 0.2910, 0.2316)  1 As 1.83
O (0.7735, 0.3583, 0.6350)  1 Tm 2.21, 2 Nd 2.22-2.42
Nd (0.8409, 0.5465, 0.2912)  4 O 2.22-2.43
Nd (0.2787, 0.4434, 0.8091)  5 O 2.25-2.48
As (0.5003, 0.0144, 0.3684)  3 O 1.76-1.84

- Look up the VASP energy of the first one.
  -7.01 eV/atom

- Number 3 is which compound?
  Nd2TmAsO6